Here is crystalline MoSeS at its relaxed geometry from the Open Quantum Materials Database. Energies are from PBE-GGA.

Geometry as POSCAR:
```
MoSeS
1.0
3.254 0.000 0.000
-1.627 2.818 0.000
0.000 0.000 13.090
Mo Se S
2 2 2
Direct
0.333 0.667 0.000 Mo
0.667 0.333 0.500 Mo
0.333 0.667 0.369 Se
0.667 0.333 0.869 Se
0.333 0.667 0.617 S
0.667 0.333 0.117 S
```

* volume: 20.011 A^3/atom
* space-group type: P6_3mc
* ΔE to the lowest computed polymorph: 11.0 meV per atom
* energy: -6.914 eV/atom
* crystal system: hexagonal